No. 1
# Li3In2Ag2Au4 PBE relaxed
data_Li3In2Ag2Au4
_chemical_formula_sum 'Li3 In2 Ag2 Au4'
_symmetry_space_group_name_H-M 'P 1'
_symmetry_Int_Tables_number 1
_cell_length_a 4.3846
_cell_length_b 4.3846
_cell_length_c 13.8125
_cell_angle_alpha 90.00
_cell_angle_beta 90.00
_cell_angle_gamma 120.00
loop_
_symmetry_equiv_pos_as_xyz
'x,y,z'
loop_
_atom_site_label
_atom_site_fract_x
_atom_site_fract_y
_atom_site_fract_z
Li1 0.0000 0.0000 0.0000
Li2 0.0000 0.0000 0.2951
Li3 0.0000 0.0000 0.7049
In1 0.3333 0.6667 0.1537
In2 0.6667 0.3333 0.8463
Ag1 0.3333 0.6667 0.5543
Ag2 0.6667 0.3333 0.4457
Au1 0.3333 0.6667 0.3503
Au2 0.3333 0.6667 0.9350
Au3 0.6667 0.3333 0.0650
Au4 0.6667 0.3333 0.6497
# - DOS at the Fermi energy: 4.2 states/eV/cell
# - ΔH_f (0 K): -0.224 eV per atom
# - Crystal system: trigonal

---

No. 2
# Pr5ScBi6 PBE relaxed
data_Pr5ScBi6
_chemical_formula_sum 'Pr5 Sc1 Bi6'
_symmetry_space_group_name_H-M 'P 1'
_symmetry_Int_Tables_number 1
_cell_length_a 7.9462
_cell_length_b 7.9462
_cell_length_c 7.9468
_cell_angle_alpha 99.64
_cell_angle_beta 99.64
_cell_angle_gamma 120.07
loop_
_symmetry_equiv_pos_as_xyz
'x,y,z'
loop_
_atom_site_label
_atom_site_fract_x
_atom_site_fract_y
_atom_site_fract_z
Pr1 0.0000 0.0000 0.0000
Pr2 0.1646 0.8354 0.5000
Pr3 0.3279 0.6721 0.0000
Pr4 0.6721 0.3279 0.0000
Pr5 0.8354 0.1646 0.5000
Sc1 0.5000 0.5000 0.5000
Bi1 0.1003 0.4210 0.2602
Bi2 0.2627 0.2627 0.7461
Bi3 0.4210 0.1003 0.2602
Bi4 0.5790 0.8997 0.7398
Bi5 0.7373 0.7373 0.2539
Bi6 0.8997 0.5790 0.7398
# - DOS at the Fermi energy: 2.3 states/eV/cell
# - ΔH_f (0 K): -0.889 eV per atom
# - Crystal system: monoclinic

---

No. 3
# YHf2Ge4 PBE relaxed
data_YHf2Ge4
_chemical_formula_sum 'Y1 Hf2 Ge4'
_symmetry_space_group_name_H-M 'P 1'
_symmetry_Int_Tables_number 1
_cell_length_a 7.8025
_cell_length_b 7.8025
_cell_length_c 7.8025
_cell_angle_alpha 141.71
_cell_angle_beta 141.71
_cell_angle_gamma 55.26
loop_
_symmetry_equiv_pos_as_xyz
'x,y,z'
loop_
_atom_site_label
_atom_site_fract_x
_atom_site_fract_y
_atom_site_fract_z
Y1 0.0000 0.0000 0.0000
Hf1 0.3992 0.3992 0.0000
Hf2 0.6008 0.6008 0.0000
Ge1 0.0000 0.5000 0.5000
Ge2 0.2057 0.2057 0.0000
Ge3 0.5000 0.0000 0.5000
Ge4 0.7943 0.7943 0.0000
# - DOS at the Fermi energy: 2.9 states/eV/cell
# - ΔH_f (0 K): 0.274 eV per atom
# - Crystal system: tetragonal

---

No. 4
# K5As3Au3 PBE relaxed
data_K5As3Au3
_chemical_formula_sum 'K5 As3 Au3'
_symmetry_space_group_name_H-M 'P 1'
_symmetry_Int_Tables_number 1
_cell_length_a 10.3066
_cell_length_b 10.3066
_cell_length_c 4.6691
_cell_angle_alpha 90.00
_cell_angle_beta 90.00
_cell_angle_gamma 120.00
loop_
_symmetry_equiv_pos_as_xyz
'x,y,z'
loop_
_atom_site_label
_atom_site_fract_x
_atom_site_fract_y
_atom_site_fract_z
K1 0.0000 0.7476 0.0000
K2 0.2524 0.2524 0.0000
K3 0.3333 0.6667 0.0000
K4 0.6667 0.3333 0.0000
K5 0.7476 0.0000 0.0000
As1 0.0000 0.3795 0.0000
As2 0.3795 0.0000 0.0000
As3 0.6205 0.6205 0.0000
Au1 0.0000 0.3101 0.5000
Au2 0.3101 0.0000 0.5000
Au3 0.6899 0.6899 0.5000
# - DOS at the Fermi energy: 2.8 states/eV/cell
# - ΔH_f (0 K): -0.372 eV per atom
# - Crystal system: hexagonal

---

No. 5
# Cr3Os PBE relaxed
data_Cr3Os
_chemical_formula_sum 'Cr6 Os2'
_symmetry_space_group_name_H-M 'P 1'
_symmetry_Int_Tables_number 1
_cell_length_a 5.1041
_cell_length_b 5.1041
_cell_length_c 4.0661
_cell_angle_alpha 90.00
_cell_angle_beta 90.00
_cell_angle_gamma 108.33
loop_
_symmetry_equiv_pos_as_xyz
'x,y,z'
loop_
_atom_site_label
_atom_site_fract_x
_atom_site_fract_y
_atom_site_fract_z
Cr1 0.1068 0.3548 0.7500
Cr2 0.1302 0.8698 0.7500
Cr3 0.3548 0.1068 0.2500
Cr4 0.6452 0.8932 0.7500
Cr5 0.8698 0.1302 0.2500
Cr6 0.8932 0.6452 0.2500
Os1 0.3830 0.6170 0.2500
Os2 0.6170 0.3830 0.7500
# - DOS at the Fermi energy: 6.5 states/eV/cell
# - ΔH_f (0 K): 0.063 eV per atom
# - Crystal system: orthorhombic

---

No. 6
# Ac2CdIn12 PBE relaxed
data_Ac2CdIn12
_chemical_formula_sum 'Ac4 Cd2 In24'
_symmetry_space_group_name_H-M 'P 1'
_symmetry_Int_Tables_number 1
_cell_length_a 7.0669
_cell_length_b 7.0669
_cell_length_c 17.3915
_cell_angle_alpha 90.00
_cell_angle_beta 90.00
_cell_angle_gamma 90.00
loop_
_symmetry_equiv_pos_as_xyz
'x,y,z'
loop_
_atom_site_label
_atom_site_fract_x
_atom_site_fract_y
_atom_site_fract_z
Ac1 0.2500 0.7500 0.2473
Ac2 0.2500 0.7500 0.7527
Ac3 0.7500 0.2500 0.2473
Ac4 0.7500 0.2500 0.7527
Cd1 0.2500 0.7500 0.0000
Cd2 0.7500 0.2500 0.0000
In1 0.0007 0.5007 0.0917
In2 0.0007 0.9993 0.9083
In3 0.0848 0.5848 0.5700
In4 0.0848 0.9152 0.4300
In5 0.2500 0.2500 0.1854
In6 0.2500 0.2500 0.3462
In7 0.2500 0.2500 0.6538
In8 0.2500 0.2500 0.8146
In9 0.4152 0.5848 0.4300
In10 0.4152 0.9152 0.5700
In11 0.4993 0.5007 0.9083
In12 0.4993 0.9993 0.0917
In13 0.5007 0.0007 0.9083
In14 0.5007 0.4993 0.0917
In15 0.5848 0.0848 0.4300
In16 0.5848 0.4152 0.5700
In17 0.7500 0.7500 0.1854
In18 0.7500 0.7500 0.3462
In19 0.7500 0.7500 0.6538
In20 0.7500 0.7500 0.8146
In21 0.9152 0.0848 0.5700
In22 0.9152 0.4152 0.4300
In23 0.9993 0.0007 0.0917
In24 0.9993 0.4993 0.9083
# - DOS at the Fermi energy: 7.7 states/eV/cell
# - ΔH_f (0 K): -0.177 eV per atom
# - Crystal system: tetragonal

---

No. 7
# ZrCdPdRh2 PBE relaxed
data_ZrCdPdRh2
_chemical_formula_sum 'Zr1 Cd1 Pd1 Rh2'
_symmetry_space_group_name_H-M 'P 1'
_symmetry_Int_Tables_number 1
_cell_length_a 4.7792
_cell_length_b 4.7792
_cell_length_c 5.1038
_cell_angle_alpha 90.00
_cell_angle_beta 90.00
_cell_angle_gamma 90.00
loop_
_symmetry_equiv_pos_as_xyz
'x,y,z'
loop_
_atom_site_label
_atom_site_fract_x
_atom_site_fract_y
_atom_site_fract_z
Zr1 0.0000 0.0000 0.0000
Cd1 0.0000 0.0000 0.5000
Pd1 0.5000 0.5000 0.0000
Rh1 0.0000 0.5000 0.5000
Rh2 0.5000 0.0000 0.5000
# - DOS at the Fermi energy: 2.6 states/eV/cell
# - ΔH_f (0 K): 1.351 eV per atom
# - Crystal system: tetragonal

---

No. 8
# LaRuRh2 PBE relaxed
data_LaRuRh2
_chemical_formula_sum 'La2 Ru2 Rh4'
_symmetry_space_group_name_H-M 'P 1'
_symmetry_Int_Tables_number 1
_cell_length_a 9.0125
_cell_length_b 9.0125
_cell_length_c 9.0125
_cell_angle_alpha 149.85
_cell_angle_beta 149.85
_cell_angle_gamma 43.16
loop_
_symmetry_equiv_pos_as_xyz
'x,y,z'
loop_
_atom_site_label
_atom_site_fract_x
_atom_site_fract_y
_atom_site_fract_z
La1 0.0000 0.0000 0.0000
La2 0.7500 0.2500 0.5000
Ru1 0.2500 0.7500 0.5000
Ru2 0.5000 0.5000 0.0000
Rh1 0.2677 0.6250 0.1427
Rh2 0.3750 0.5177 0.6427
Rh3 0.4823 0.1250 0.8573
Rh4 0.8750 0.7323 0.3573
# - DOS at the Fermi energy: 14.6 states/eV/cell
# - Energy above the most stable polymorph in this dataset: 0.291 eV/atom
# - ΔH_f (0 K): 0.194 eV per atom
# - Crystal system: tetragonal

---

No. 9
# GdDyAl PBE relaxed
data_GdDyAl
_chemical_formula_sum 'Gd1 Dy1 Al1'
_symmetry_space_group_name_H-M 'P 1'
_symmetry_Int_Tables_number 1
_cell_length_a 7.1813
_cell_length_b 7.1813
_cell_length_c 7.1813
_cell_angle_alpha 152.12
_cell_angle_beta 152.12
_cell_angle_gamma 39.83
loop_
_symmetry_equiv_pos_as_xyz
'x,y,z'
loop_
_atom_site_label
_atom_site_fract_x
_atom_site_fract_y
_atom_site_fract_z
Gd1 0.0000 0.0000 0.0000
Dy1 0.7049 0.7049 0.0000
Al1 0.3506 0.3506 0.0000
# - DOS at the Fermi energy: 2.5 states/eV/cell
# - Energy above the most stable polymorph in this dataset: 0.000 eV/atom
# - ΔH_f (0 K): -0.245 eV per atom
# - Crystal system: tetragonal

---

No. 10
# PmFePH2 PBE relaxed
data_PmFePH2
_chemical_formula_sum 'Pm2 Fe2 P2 H4'
_symmetry_space_group_name_H-M 'P 1'
_symmetry_Int_Tables_number 1
_cell_length_a 5.4683
_cell_length_b 5.4683
_cell_length_c 6.0758
_cell_angle_alpha 90.00
_cell_angle_beta 90.00
_cell_angle_gamma 140.67
loop_
_symmetry_equiv_pos_as_xyz
'x,y,z'
loop_
_atom_site_label
_atom_site_fract_x
_atom_site_fract_y
_atom_site_fract_z
Pm1 0.2150 0.7850 0.7500
Pm2 0.7850 0.2150 0.2500
Fe1 0.5000 0.5000 0.0000
Fe2 0.5000 0.5000 0.5000
P1 0.0606 0.9394 0.2500
P2 0.9394 0.0606 0.7500
H1 0.3438 0.6562 0.0540
H2 0.3438 0.6562 0.4460
H3 0.6562 0.3438 0.5540
H4 0.6562 0.3438 0.9460
# - DOS at the Fermi energy: 5.0 states/eV/cell
# - Final energy: -5.657 eV/atom
# - Crystal system: orthorhombic

---

No. 11
# TiH3Rh PBE relaxed
data_TiH3Rh
_chemical_formula_sum 'Ti1 H3 Rh1'
_symmetry_space_group_name_H-M 'P 1'
_symmetry_Int_Tables_number 1
_cell_length_a 3.4516
_cell_length_b 3.4516
_cell_length_c 3.4516
_cell_angle_alpha 90.00
_cell_angle_beta 90.00
_cell_angle_gamma 90.00
loop_
_symmetry_equiv_pos_as_xyz
'x,y,z'
loop_
_atom_site_label
_atom_site_fract_x
_atom_site_fract_y
_atom_site_fract_z
Ti1 0.0000 0.0000 0.0000
H1 0.0000 0.0000 0.5000
H2 0.0000 0.5000 0.0000
H3 0.5000 0.0000 0.0000
Rh1 0.5000 0.5000 0.5000
# - DOS at the Fermi energy: 1.4 states/eV/cell
# - Final energy: -4.948 eV/atom
# - Crystal system: cubic

---

No. 12
# CeLuFe PBE relaxed
data_CeLuFe
_chemical_formula_sum 'Ce1 Lu1 Fe1'
_symmetry_space_group_name_H-M 'P 1'
_symmetry_Int_Tables_number 1
_cell_length_a 6.6873
_cell_length_b 6.6873
_cell_length_c 6.6873
_cell_angle_alpha 151.55
_cell_angle_beta 151.55
_cell_angle_gamma 40.67
loop_
_symmetry_equiv_pos_as_xyz
'x,y,z'
loop_
_atom_site_label
_atom_site_fract_x
_atom_site_fract_y
_atom_site_fract_z
Ce1 0.0000 0.0000 0.0000
Lu1 0.7428 0.7428 0.0000
Fe1 0.3747 0.3747 0.0000
# - DOS at the Fermi energy: 5.2 states/eV/cell
# - Energy above the most stable polymorph in this dataset: 0.000 eV/atom
# - ΔH_f (0 K): 0.028 eV per atom
# - Crystal system: tetragonal